Record 1
# KSr2Au

An optimized crystal structure of KSr2Au (PBEsol, Alexandria via LeMat-Bulk).

## Properties
Energy of formation from the pure elements: -1.37 eV/f.u.

abc: 4.4835 4.4835 32.3251
angles: 90.00 90.00 120.00
Closest atoms and distances in Å follow each position.
Space group R-3m (No. 166, hexagonal axes)
Unique sites:
K (0.0000, 0.0000, 0.0000)  6 K 4.48, 6 Sr 4.54
Sr (0.0000, 0.0000, 0.2180)  3 Au 3.07
Au (0.0000, 0.0000, 0.5000)  6 Sr 3.07



Record 2
# Fe3SnPd

An optimized crystal structure of Fe3SnPd (PBEsol, Alexandria via LeMat-Bulk).

## Properties
Energy of formation from the pure elements: 5.57 eV/f.u.

abc: 4.5641 4.5641 4.5641
angles: 90.00 90.00 90.00
Closest atoms and distances in Å follow each position.
Space group Pm-3m (No. 221)
Unique sites:
Fe (0.0000, 0.0000, 0.5000)  2 Pd 2.28
Sn (0.5000, 0.5000, 0.5000)  12 Fe 3.23
Pd (0.0000, 0.0000, 0.0000)  6 Fe 2.28



Record 3
# HfTlS2

An optimized crystal structure of HfTlS2 (PBEsol, Alexandria via LeMat-Bulk).

## Properties
Formation energy (no corrections): -1190 meV per atom

abc: 3.5184 3.5184 27.1196
angles: 90.00 90.00 120.00
Closest atoms and distances in Å follow each position.
Space group R-3m (No. 166, hexagonal axes)
Unique sites:
Hf (0.0000, 0.0000, 0.0000)  6 S 2.52
Tl (0.0000, 0.0000, 0.5000)  2 S 3.02
S (0.0000, 0.0000, 0.3885)  3 Hf 2.52



| no. | Fermi-level density of states (states/eV/cell) | uncorrected energy (eV per atom) | V (Å³ per cell) |
| --- | --- | --- | --- |
| 1 | 8.9 | -2.53 | 563 |
| 2 | 5.0 | -6.31 | 95 |
| 3 | 5.1 | -6.66 | 291 |